## Pm2HBr5 (GGA-PBE)

Data for a geometry-optimized Pm2HBr5 structure.

Properties
- raw total energy (eV/cell) = -69.6
- spin magnetization (μB per formula unit) = 0.00
- density (kg/m3) = 4638

The structure in CIF format:
```
data_Pm2HBr5
_symmetry_space_group_name_H-M 'P -1'
_symmetry_Int_Tables_number 2
_symmetry_space_group_name_Hall '-P 1'
_cell_length_a 4.026
_cell_length_b 8.059
_cell_length_c 15.681
_cell_angle_alpha 91.65
_cell_angle_beta 90.00
_cell_angle_gamma 103.52
loop_
_atom_site_label
_atom_site_fract_x
_atom_site_fract_y
_atom_site_fract_z
_atom_site_occupancy
Pm1 0.216 0.427 0.139 1
Pm2 0.230 0.457 0.643 1
H1 0.263 0.526 0.780 1
Br1 0.146 0.277 0.319 1
Br2 0.177 0.343 0.941 1
Br3 0.340 0.691 0.482 1
Br4 0.363 0.742 0.263 1
Br5 0.409 0.840 0.886 1
```

=====

## Cs2SnPtI6 (GGA-PBE)

Data for a geometry-optimized Cs2SnPtI6 structure.

Properties
- raw total energy (eV/cell) = -114.7
- spin magnetization (μB per formula unit) = 0.00
- density (kg/m3) = 5330

The structure in CIF format:
```
data_Cs2SnPtI6
_symmetry_space_group_name_H-M 'F m -3 m'
_symmetry_Int_Tables_number 225
_symmetry_space_group_name_Hall '-F 4 2 3'
_cell_length_a 11.867
_cell_length_b 11.867
_cell_length_c 11.867
_cell_angle_alpha 90.00
_cell_angle_beta 90.00
_cell_angle_gamma 90.00
loop_
_atom_site_label
_atom_site_fract_x
_atom_site_fract_y
_atom_site_fract_z
_atom_site_occupancy
Cs1 0.250 0.250 0.250 1
Sn1 0.000 0.000 0.000 1
Pt1 0.000 0.000 0.500 1
I1 0.000 0.000 0.262 1
```

=====

## La3Pr3Sm (GGA-PBE)

Data for a geometry-optimized La3Pr3Sm structure.

Properties
- raw total energy (eV/cell) = -67.2
- spin magnetization (μB per formula unit) = 0.00
- distance to the lowest polymorph of the same formula (eV per atom) = 0.000
- density (kg/m3) = 6394

The structure in CIF format:
```
data_La3Pr3Sm
_symmetry_space_group_name_H-M 'P 63/m'
_symmetry_Int_Tables_number 176
_symmetry_space_group_name_Hall '-P 6c'
_cell_length_a 9.9368
_cell_length_b 9.9368
_cell_length_c 6.0119
_cell_angle_alpha 90.00
_cell_angle_beta 90.00
_cell_angle_gamma 120.00
loop_
_atom_site_label
_atom_site_fract_x
_atom_site_fract_y
_atom_site_fract_z
_atom_site_occupancy
La1 0.0463 0.8061 0.2500 1
Pr1 0.0951 0.6167 0.7500 1
Sm1 0.3333 0.6667 0.2500 1
```

=====

Question: What is the formula in the third record?
Answer: La3Pr3Sm

=====

Question: Number 1 is which compound?
Answer: Pm2HBr5

=====

Question: Which of these has the lowest raw total energy?
Answer: Cs2SnPtI6